(1)
First-principles (PBE) data for an optimized crystal structure of ErAl4IrRh2, as listed in Alexandria.

Total magnetic moment (μB per formula unit): 0.0
VASP energy (eV/atom): -6.240
Energy of formation from the pure elements (eV/atom): -0.853

Cell: 4.2064 4.2064 25.8728 Å, 90.00 90.00 120.00°
Space group R-3m (No. 166, hexagonal axes)
Symmetry-distinct sites (fractional):
Er1 0.0000 0.0000 0.0000 [3 per cell]
Al1 0.0000 0.0000 0.1322 [6 per cell]
Al2 0.0000 0.0000 0.4022 [6 per cell]
Ir1 0.0000 0.0000 0.5000 [3 per cell]
Rh1 0.0000 0.0000 0.2363 [6 per cell]



(2)
First-principles (PBE) data for an optimized crystal structure of ErScAlIr, as listed in Alexandria.

Total magnetic moment (μB per formula unit): 0.0
VASP energy (eV/atom): -6.512
Energy of formation from the pure elements (eV/atom): -0.637

Cell: 6.7892 6.7892 6.7892 Å, 90.00 90.00 90.00°
Space group F-43m (No. 216)
Symmetry-distinct sites (fractional):
Er1 0.0000 0.0000 0.0000 [4 per cell]
Sc1 0.0000 0.0000 0.5000 [4 per cell]
Al1 0.2500 0.2500 0.2500 [4 per cell]
Ir1 0.2500 0.2500 0.7500 [4 per cell]



(3)
First-principles (PBE) data for an optimized crystal structure of ErSc2AlIr4, as listed in Alexandria.

Total magnetic moment (μB per formula unit): 0.0
VASP energy (eV/atom): -7.968
Energy of formation from the pure elements (eV/atom): -0.917

Cell: 4.5487 4.5487 22.4279 Å, 90.00 90.00 120.00°
Space group R-3m (No. 166, hexagonal axes)
Symmetry-distinct sites (fractional):
Er1 0.0000 0.0000 0.0000 [3 per cell]
Sc1 0.0000 0.0000 0.2461 [6 per cell]
Al1 0.0000 0.0000 0.5000 [3 per cell]
Ir1 0.0000 0.0000 0.1282 [6 per cell]
Ir2 0.0000 0.0000 0.3802 [6 per cell]